The following is a DFT calculation (PBE-GGA) of an optimized crystal structure of Sr4Si5Ge2.

Unit cell a=4.7649 b=7.1119 c=8.0104 alpha=92.19 beta=90.00 gamma=90.00
Closest atoms and distances in Å follow each position.
Fractional coordinates of all 11 atoms:
Si 0.0000 0.5000 0.0000  4 Si 2.84-2.93
Si 0.0000 0.5698 0.6423  1 Ge 2.45, 1 Si 2.45
Sr 0.5000 0.7639 0.8682  8 Si 3.16-3.45, 2 Ge 3.24
Si 0.0000 0.4302 0.3577  1 Ge 2.45, 1 Si 2.45
Si 0.0000 0.1148 0.8917  1 Si 2.43, 1 Ge 2.48
Sr 0.5000 0.2620 0.6340  6 Si 3.23-3.49, 4 Ge 3.40-3.44
Ge 0.0000 0.9135 0.6324  2 Si 2.45-2.48, 1 Ge 2.49
Si 0.0000 0.8852 0.1083  1 Si 2.43, 1 Ge 2.48
Sr 0.5000 0.2361 0.1318  8 Si 3.16-3.45, 2 Ge 3.24
Ge 0.0000 0.0865 0.3676  2 Si 2.45-2.48, 1 Ge 2.49
Sr 0.5000 0.7380 0.3660  6 Si 3.23-3.49, 4 Ge 3.40-3.44

Summary:
calculated volume = 24.66 A^3/atom
spin magnetization = 0.00 μB per formula unit
formation energy from raw total energies = -0.3177 eV per atom
DOS(E_F) = 0.491 states/eV/atom